VASP calculation (PBE) on a relaxed structure of LiAcPrAl.

```
LiAcPrAl
1.0
3.8681 0.0000 0.0000
0.0000 3.8681 0.0000
0.0000 0.0000 7.9480
Al Li Pr Ac
1 1 1 1
Direct
0.0000 0.0000 0.3385
0.0000 0.0000 0.8763
0.5000 0.5000 0.1213
0.5000 0.5000 0.5919
```

Magnetic moment in Bohr magnetons per cell: 0.00
Offset from the most stable computed form in meV/atom: 13

***

VASP calculation (PBE) on a relaxed structure of LiY2PdC.

```
LiY2PdC
1.0
5.0910 0.0000 0.0000
0.0000 3.9351 0.0000
0.0000 0.0000 5.0910
C Y Pd Li
1 2 1 1
Direct
0.5000 0.5000 0.5000
0.0000 0.0000 0.5000
0.5000 0.0000 0.0000
0.0000 0.5000 0.0000
0.0000 0.0000 0.0000
```

Magnetic moment in Bohr magnetons per cell: 0.00
Offset from the most stable computed form in meV/atom: 1288

***

VASP calculation (PBE) on a relaxed structure of Mg2AlW.

```
Mg2AlW
1.0
-2.2451 1.9674 0.0130
-2.9974 -3.4121 -1.2767
-0.8618 -1.0147 4.7354
Mg W Al
2 1 1
Direct
0.0000 0.0000 0.0000
0.5000 0.5000 0.0000
0.5000 0.0000 0.5000
0.0000 0.5000 0.5000
```

Magnetic moment in Bohr magnetons per cell: 0.00
Raw total energy in eV/cell: -18.7